No. 1
# Sc8InRu2 | the Alexandria database | GGA-PBE | relaxed
data_Sc8InRu2
_chemical_formula_sum 'Sc16 In2 Ru4'
_cell_length_a 4.916
_cell_length_b 14.754
_cell_length_c 6.496
_cell_angle_alpha 90.00
_cell_angle_beta 90.00
_cell_angle_gamma 90.00
_space_group_name_H-M_alt 'I m m 2'
_space_group_IT_number 44
loop_
_space_group_symop_operation_xyz
'x,y,z'
'-x,-y,z'
'-x,y,z'
'x,-y,z'
'x+1/2,y+1/2,z+1/2'
'-x+1/2,-y+1/2,z+1/2'
'-x+1/2,y+1/2,z+1/2'
'x+1/2,-y+1/2,z+1/2'
loop_
_atom_site_label
_atom_site_fract_x
_atom_site_fract_y
_atom_site_fract_z
Sc1 0.000 0.000 0.000
Sc2 0.000 0.113 0.446
Sc3 0.000 0.291 0.124
Sc4 0.000 0.328 0.586
Sc5 0.000 0.500 0.236
In1 0.000 0.500 0.797
Ru1 0.000 0.170 0.822
# energy relative to the elements = -0.337 eV per atom
# DOS(E_F) = 0.866 states/eV/atom
# calculated density = 4770 kg/m³

=====

No. 2
# CaCo2Hg | the Alexandria database | GGA-PBE | relaxed
data_CaCo2Hg
_chemical_formula_sum 'Ca2 Co4 Hg2'
_cell_length_a 4.031
_cell_length_b 4.031
_cell_length_c 9.489
_cell_angle_alpha 90.00
_cell_angle_beta 90.00
_cell_angle_gamma 90.00
_space_group_name_H-M_alt 'P 4/n m m'
_space_group_IT_number 129
loop_
_space_group_symop_operation_xyz
'x,y,z'
'-x,-y,-z'
'-y+1/2,x,z'
'y+1/2,-x,-z'
'-x+1/2,-y+1/2,z'
'x+1/2,y+1/2,-z'
'y,-x+1/2,z'
'-y,x+1/2,-z'
'x+1/2,-y,-z'
'-x+1/2,y,z'
'-y,-x,-z'
'y,x,z'
'-x,y+1/2,-z'
'x,-y+1/2,z'
'y+1/2,x+1/2,-z'
'-y+1/2,-x+1/2,z'
loop_
_atom_site_label
_atom_site_fract_x
_atom_site_fract_y
_atom_site_fract_z
Ca1 0.250 0.250 0.244
Co1 0.250 0.250 0.882
Co2 0.250 0.750 0.000
Hg1 0.250 0.250 0.592
# energy relative to the elements = -0.078 eV per atom
# DOS(E_F) = 0.709 states/eV/atom
# calculated density = 7724 kg/m³

=====

No. 3
# IrCl | the Alexandria database | GGA-PBE | relaxed
data_IrCl
_chemical_formula_sum 'Ir4 Cl4'
_cell_length_a 5.103
_cell_length_b 5.103
_cell_length_c 5.103
_cell_angle_alpha 90.00
_cell_angle_beta 90.00
_cell_angle_gamma 90.00
_space_group_name_H-M_alt 'F m -3 m'
_space_group_IT_number 225
_space_group_name_Hall '-F 4 2 3'
loop_
_atom_site_label
_atom_site_fract_x
_atom_site_fract_y
_atom_site_fract_z
Ir1 0.000 0.000 0.000
Cl1 0.000 0.000 0.500
# formation energy (no corrections) = 1.4068 eV/atom
# energy above the lowest structure with this stoichiometry = 1272 meV per atom
# DOS(E_F) = 1.067 states/eV/atom
# calculated density = 11383 kg/m³

=====

No. 4
# BaGaSbF | the Alexandria database | GGA-PBE | relaxed
data_BaGaSbF
_chemical_formula_sum 'Ba2 Ga2 Sb2 F2'
_cell_length_a 4.916
_cell_length_b 4.916
_cell_length_c 8.550
_cell_angle_alpha 90.00
_cell_angle_beta 90.00
_cell_angle_gamma 90.00
_space_group_name_H-M_alt 'P 4/n m m'
_space_group_IT_number 129
loop_
_space_group_symop_operation_xyz
'x,y,z'
'-x,-y,-z'
'-y+1/2,x,z'
'y+1/2,-x,-z'
'-x+1/2,-y+1/2,z'
'x+1/2,y+1/2,-z'
'y,-x+1/2,z'
'-y,x+1/2,-z'
'x+1/2,-y,-z'
'-x+1/2,y,z'
'-y,-x,-z'
'y,x,z'
'-x,y+1/2,-z'
'x,-y+1/2,z'
'y+1/2,x+1/2,-z'
'-y+1/2,-x+1/2,z'
loop_
_atom_site_label
_atom_site_fract_x
_atom_site_fract_y
_atom_site_fract_z
Ba1 0.250 0.250 0.145
Ga1 0.250 0.750 0.500
Sb1 0.250 0.250 0.661
F1 0.250 0.750 0.000
# formation energy (no corrections) = -1.7279 eV/atom
# DOS(E_F) = 0.229 states/eV/atom
# calculated density = 5591 kg/m³

=====

No. 5
# Dy4CdCo2 | the Alexandria database | GGA-PBE | relaxed
data_Dy4CdCo2
_chemical_formula_sum 'Dy8 Cd2 Co4'
_cell_length_a 6.904
_cell_length_b 7.104
_cell_length_c 7.228
_cell_angle_alpha 100.15
_cell_angle_beta 101.66
_cell_angle_gamma 94.17
_space_group_name_H-M_alt 'P 1'
_space_group_IT_number 1
loop_
_space_group_symop_operation_xyz
'x,y,z'
loop_
_atom_site_label
_atom_site_fract_x
_atom_site_fract_y
_atom_site_fract_z
Dy1 0.000 0.000 0.000
Dy2 0.026 0.394 0.381
Dy3 0.401 0.402 0.040
Dy4 0.480 0.101 0.640
Dy5 0.534 0.903 0.102
Dy6 0.571 0.584 0.515
Dy7 0.888 0.475 0.896
Dy8 0.921 0.978 0.489
Cd1 0.198 0.758 0.281
Cd2 0.212 0.721 0.729
Co1 0.294 0.150 0.299
Co2 0.641 0.248 0.347
Co3 0.717 0.224 0.035
Co4 0.767 0.629 0.226
# energy relative to the elements = -0.129 eV per atom
# DOS(E_F) = 0.893 states/eV/atom
# calculated density = 8609 kg/m³

=====

No. 6
# EuGd2Ru | the Alexandria database | GGA-PBE | relaxed
data_EuGd2Ru
_chemical_formula_sum 'Eu1 Gd2 Ru1'
_cell_length_a 3.469
_cell_length_b 3.469
_cell_length_c 9.548
_cell_angle_alpha 90.00
_cell_angle_beta 90.00
_cell_angle_gamma 90.00
_space_group_name_H-M_alt 'P 4/m m m'
_space_group_IT_number 123
_space_group_name_Hall '-P 4 2'
loop_
_atom_site_label
_atom_site_fract_x
_atom_site_fract_y
_atom_site_fract_z
Eu1 0.000 0.000 0.000
Gd1 0.500 0.500 0.326
Ru1 0.000 0.000 0.500
# energy relative to the elements = -0.177 eV per atom
# DOS(E_F) = 0.851 states/eV/atom
# calculated density = 8204 kg/m³

=====

No. 7
# Na3TlC | the Alexandria database | GGA-PBE | relaxed
data_Na3TlC
_chemical_formula_sum 'Na3 Tl1 C1'
_cell_length_a 5.004
_cell_length_b 5.004
_cell_length_c 5.004
_cell_angle_alpha 90.00
_cell_angle_beta 90.00
_cell_angle_gamma 90.00
_space_group_name_H-M_alt 'P m -3 m'
_space_group_IT_number 221
_space_group_name_Hall '-P 4 2 3'
loop_
_atom_site_label
_atom_site_fract_x
_atom_site_fract_y
_atom_site_fract_z
Na1 0.000 0.000 0.500
Tl1 0.500 0.500 0.500
C1 0.000 0.000 0.000
# energy relative to the elements = 0.766 eV per atom
# energy above the lowest structure with this stoichiometry = 0 meV per atom
# DOS(E_F) = 0.450 states/eV/atom
# calculated density = 3781 kg/m³

=====

No. 8
# NaIrSe3 | the Alexandria database | GGA-PBE | relaxed
data_NaIrSe3
_chemical_formula_sum 'Na1 Ir1 Se3'
_cell_length_a 4.890
_cell_length_b 4.890
_cell_length_c 4.890
_cell_angle_alpha 90.00
_cell_angle_beta 90.00
_cell_angle_gamma 90.00
_space_group_name_H-M_alt 'P m -3 m'
_space_group_IT_number 221
_space_group_name_Hall '-P 4 2 3'
loop_
_atom_site_label
_atom_site_fract_x
_atom_site_fract_y
_atom_site_fract_z
Na1 0.000 0.000 0.000
Ir1 0.500 0.500 0.500
Se1 0.000 0.000 0.500
# formation energy (no corrections) = 1.4774 eV/atom
# energy above the lowest structure with this stoichiometry = 1391 meV per atom
# DOS(E_F) = 1.252 states/eV/atom
# calculated density = 6421 kg/m³

=====

No. 9
# PmAl2Ge | the Alexandria database | GGA-PBE | relaxed
data_PmAl2Ge
_chemical_formula_sum 'Pm1 Al2 Ge1'
_cell_length_a 3.532
_cell_length_b 3.532
_cell_length_c 6.777
_cell_angle_alpha 90.00
_cell_angle_beta 90.00
_cell_angle_gamma 90.00
_space_group_name_H-M_alt 'P 4/m m m'
_space_group_IT_number 123
_space_group_name_Hall '-P 4 2'
loop_
_atom_site_label
_atom_site_fract_x
_atom_site_fract_y
_atom_site_fract_z
Pm1 0.000 0.000 0.000
Al1 0.500 0.500 0.304
Ge1 0.000 0.000 0.500
# energy relative to the elements = -0.212 eV per atom
# energy above the lowest structure with this stoichiometry = 196 meV per atom
# DOS(E_F) = 0.775 states/eV/atom
# calculated density = 5334 kg/m³

=====

No. 10
# MnV2Se5 | the Alexandria database | GGA-PBE | relaxed
data_MnV2Se5
_chemical_formula_sum 'Mn4 V8 Se20'
_cell_length_a 5.016
_cell_length_b 12.252
_cell_length_c 12.116
_cell_angle_alpha 90.00
_cell_angle_beta 90.00
_cell_angle_gamma 90.00
_space_group_name_H-M_alt 'C m c m'
_space_group_IT_number 63
_space_group_name_Hall '-C 2c 2'
loop_
_atom_site_label
_atom_site_fract_x
_atom_site_fract_y
_atom_site_fract_z
Mn1 0.000 0.195 0.250
V1 0.000 0.150 0.559
Se1 0.000 0.045 0.114
Se2 0.000 0.251 0.750
Se3 0.000 0.315 0.074
# formation energy (no corrections) = -0.5023 eV/atom
# energy above the lowest structure with this stoichiometry = 0 meV per atom
# DOS(E_F) = 0.484 states/eV/atom
# calculated density = 4921 kg/m³

=====

No. 11
# Ho6Sb3AsP2 | the Alexandria database | GGA-PBE | relaxed
data_Ho6Sb3AsP2
_chemical_formula_sum 'Ho12 Sb6 As2 P4'
_cell_length_a 18.358
_cell_length_b 4.163
_cell_length_c 8.445
_cell_angle_alpha 90.00
_cell_angle_beta 104.40
_cell_angle_gamma 90.00
_space_group_name_H-M_alt 'C 1 2/m 1'
_space_group_IT_number 12
loop_
_space_group_symop_operation_xyz
'x,y,z'
'-x,-y,-z'
'-x,y,-z'
'x,-y,z'
'x+1/2,y+1/2,z'
'-x+1/2,-y+1/2,-z'
'-x+1/2,y+1/2,-z'
'x+1/2,-y+1/2,z'
loop_
_atom_site_label
_atom_site_fract_x
_atom_site_fract_y
_atom_site_fract_z
Ho1 0.007 0.000 0.242
Ho2 0.164 0.500 0.099
Ho3 0.173 0.500 0.569
Sb1 0.000 0.500 0.500
Sb2 0.166 0.000 0.832
As1 0.000 0.500 0.000
P1 0.167 0.000 0.334
# formation energy (no corrections) = -1.3200 eV/atom
# DOS(E_F) = 0.160 states/eV/atom
# calculated density = 7925 kg/m³

=====

No. 12
# PuNb2Rh3 | the Alexandria database | GGA-PBE | relaxed
data_PuNb2Rh3
_chemical_formula_sum 'Pu1 Nb2 Rh3'
_cell_length_a 2.939
_cell_length_b 2.939
_cell_length_c 11.834
_cell_angle_alpha 90.00
_cell_angle_beta 90.00
_cell_angle_gamma 90.00
_space_group_name_H-M_alt 'P 4/m m m'
_space_group_IT_number 123
_space_group_name_Hall '-P 4 2'
loop_
_atom_site_label
_atom_site_fract_x
_atom_site_fract_y
_atom_site_fract_z
Pu1 0.000 0.000 0.000
Nb1 0.000 0.000 0.340
Rh1 0.500 0.500 0.184
Rh2 0.500 0.500 0.500
# energy relative to the elements = -0.358 eV per atom
# DOS(E_F) = 1.680 states/eV/atom
# calculated density = 11999 kg/m³